Crystalline Pm5Ho2Er4 at its relaxed geometry, computed with GGA-PBE.

Cell lengths 3.510, 9.066, 12.690 Å; angles 110.93, 97.95, 90.00 degrees
Fractional coordinates of all 11 atoms:
Pm1 0.854 0.055 0.709
Pm2 0.854 0.654 0.709
Pm3 0.146 0.346 0.291
Pm4 0.146 0.945 0.291
Pm5 0.500 0.000 0.000
Ho1 0.269 0.269 0.539
Ho2 0.731 0.731 0.461
Er1 0.000 0.314 0.000
Er2 0.597 0.597 0.193
Er3 0.000 0.686 0.000
Er4 0.403 0.403 0.807

## Properties
E_tot = -4.45 eV/atom
Energy above the most stable polymorph in this dataset = 37 meV/atom
Calculated volume = 33.910 A^3/atom

Crystalline PmHo8Er6 at its relaxed geometry, computed with GGA-PBE.

Cell lengths 8.961, 8.961, 8.552 Å; angles 58.41, 58.41, 60.00 degrees
Fractional coordinates of all 15 atoms:
Pm1 0.000 0.000 0.000
Ho1 0.256 0.280 0.575
Ho2 0.720 0.110 0.425
Ho3 0.110 0.744 0.425
Ho4 0.576 0.576 0.271
Ho5 0.424 0.424 0.729
Ho6 0.890 0.256 0.575
Ho7 0.280 0.890 0.575
Ho8 0.744 0.720 0.425
Er1 0.462 0.891 0.879
Er2 0.109 0.232 0.121
Er3 0.232 0.538 0.121
Er4 0.768 0.462 0.879
Er5 0.891 0.768 0.879
Er6 0.538 0.109 0.121

## Properties
E_tot = -4.45 eV/atom
Calculated volume = 31.572 A^3/atom

Crystalline Pm2Ho8Er at its relaxed geometry, computed with GGA-PBE.

Cell lengths 5.861, 9.178, 9.178 Å; angles 121.30, 105.46, 105.46 degrees
Fractional coordinates of all 11 atoms:
Pm1 0.000 0.307 0.693
Pm2 0.000 0.693 0.307
Ho1 0.826 0.902 0.670
Ho2 0.826 0.670 0.902
Ho3 0.296 0.572 0.572
Ho4 0.500 0.793 0.207
Ho5 0.500 0.207 0.793
Ho6 0.704 0.428 0.428
Ho7 0.174 0.330 0.098
Ho8 0.174 0.098 0.330
Er1 0.500 0.000 0.000

## Properties
E_tot = -4.45 eV/atom
Energy above the most stable polymorph in this dataset = 139 meV/atom
Calculated volume = 32.183 A^3/atom

Crystalline Pm7HoEr12 at its relaxed geometry, computed with GGA-PBE.

Cell lengths 8.737, 8.737, 8.737 Å; angles 85.93, 85.93, 85.93 degrees
Fractional coordinates of all 20 atoms:
Pm1 0.845 0.602 0.923
Pm2 0.398 0.077 0.155
Pm3 0.077 0.155 0.398
Pm4 0.500 0.500 0.500
Pm5 0.923 0.845 0.602
Pm6 0.602 0.923 0.845
Pm7 0.155 0.398 0.077
Ho1 0.000 0.000 0.000
Er1 0.854 0.254 0.728
Er2 0.746 0.272 0.146
Er3 0.618 0.135 0.497
Er4 0.865 0.503 0.382
Er5 0.272 0.146 0.746
Er6 0.503 0.382 0.865
Er7 0.497 0.618 0.135
Er8 0.728 0.854 0.254
Er9 0.135 0.497 0.618
Er10 0.382 0.865 0.503
Er11 0.254 0.728 0.854
Er12 0.146 0.746 0.272

## Properties
E_tot = -4.40 eV/atom
Energy above the most stable polymorph in this dataset = 0 meV/atom
Calculated volume = 33.110 A^3/atom

Crystalline Pm3Ho8Er4 at its relaxed geometry, computed with GGA-PBE.

Cell lengths 6.706, 9.230, 9.230 Å; angles 87.58, 111.26, 111.26 degrees
Fractional coordinates of all 15 atoms:
Pm1 0.500 0.500 0.000
Pm2 0.500 0.000 0.500
Pm3 0.500 0.500 0.500
Ho1 0.541 0.269 0.269
Ho2 0.000 0.641 0.359
Ho3 0.011 0.260 0.260
Ho4 0.500 0.748 0.252
Ho5 0.500 0.252 0.748
Ho6 0.989 0.740 0.740
Ho7 0.000 0.359 0.641
Ho8 0.459 0.731 0.731
Er1 0.500 0.000 0.000
Er2 0.000 0.500 0.000
Er3 0.000 0.000 0.000
Er4 0.000 0.000 0.500

## Properties
E_tot = -4.21 eV/atom
Calculated volume = 32.901 A^3/atom

Crystalline Pm2Ho3Er at its relaxed geometry, computed with GGA-PBE.

Cell lengths 5.586, 8.974, 9.906 Å; angles 123.16, 90.00, 108.13 degrees
Fractional coordinates of all 12 atoms:
Pm1 0.507 0.013 0.857
Pm2 0.493 0.987 0.143
Pm3 0.767 0.535 0.124
Pm4 0.233 0.465 0.876
Ho1 0.289 0.577 0.573
Ho2 0.956 0.911 0.614
Ho3 0.614 0.228 0.656
Ho4 0.386 0.772 0.344
Ho5 0.044 0.089 0.386
Ho6 0.711 0.423 0.427
Er1 0.869 0.737 0.869
Er2 0.131 0.263 0.131

## Properties
E_tot = -4.53 eV/atom
Energy above the most stable polymorph in this dataset = 29 meV/atom
Calculated volume = 32.157 A^3/atom